No. 1
BaTcNO: optimized geometry, GGA-PBE.

Properties
- total magnetic moment (μB/f.u.) = 0.01
- crystal system = orthorhombic
- relative energy among the computed polymorphs (meV/atom) = 135
- total energy (eV for the cell shown) = -58.2

Lattice parameters (Å, degrees): 3.767 5.997 5.967 90.00 90.00 90.00
Space group Pmc2_1 (No. 26)
Unique sites:
1 Ba 0.000 0.241 0.000
2 Tc 0.500 0.237 0.499
3 N 0.000 0.298 0.499
4 O 0.500 0.005 0.753

No. 2
BaTcNO: optimized geometry, GGA-PBE.

Properties
- total magnetic moment (μB/f.u.) = 0.57
- crystal system = tetragonal
- relative energy among the computed polymorphs (meV/atom) = 293
- total energy (eV for the cell shown) = -56.9

Lattice parameters (Å, degrees): 3.907 3.907 9.625 90.00 90.00 90.00
Space group P4/nmm (No. 129, origin choice 2)
Unique sites:
1 Ba 0.250 0.250 0.156
2 Tc 0.250 0.750 0.500
3 N 0.250 0.250 0.575
4 O 0.250 0.750 0.000

No. 3
BaTcNO: optimized geometry, GGA-PBE.

Properties
- total magnetic moment (μB/f.u.) = 0.00
- crystal system = orthorhombic
- relative energy among the computed polymorphs (meV/atom) = 0
- total energy (eV for the cell shown) = -59.2

Lattice parameters (Å, degrees): 4.066 5.786 5.857 90.00 90.00 90.00
Space group Pmc2_1 (No. 26)
Unique sites:
1 Ba 0.000 0.234 0.000
2 Tc 0.500 0.303 0.501
3 N 0.500 0.499 0.751
4 O 0.000 0.219 0.500

No. 4
BaTcNO: optimized geometry, GGA-PBE.

Properties
- total magnetic moment (μB/f.u.) = 3.19
- crystal system = tetragonal
- relative energy among the computed polymorphs (meV/atom) = 864
- total energy (eV for the cell shown) = -52.3

Lattice parameters (Å, degrees): 4.899 4.899 5.674 90.00 90.00 90.00
Space group P4/nmm (No. 129, origin choice 2)
Unique sites:
1 Ba 0.250 0.750 0.000
2 Tc 0.250 0.250 0.483
3 N 0.250 0.250 0.162
4 O 0.250 0.750 0.500

No. 5
BaTmNO: optimized geometry, GGA-PBE.

Properties
- total magnetic moment (μB/f.u.) = 0.00
- crystal system = tetragonal
- relative energy among the computed polymorphs (meV/atom) = 449
- total energy (eV for the cell shown) = -52.0

Lattice parameters (Å, degrees): 4.638 4.638 7.874 90.00 90.00 90.00
Space group P4mm (No. 99)
Unique sites:
1 Ba 0.000 0.000 0.000
2 Ba 0.500 0.500 0.249
3 Tm 0.000 0.500 0.633
4 N 0.000 0.000 0.611
5 N 0.500 0.500 0.651
6 O 0.000 0.500 0.121

No. 6
BaTmNO: optimized geometry, GGA-PBE.

Properties
- total magnetic moment (μB/f.u.) = 0.00
- crystal system = orthorhombic
- relative energy among the computed polymorphs (meV/atom) = 70
- total energy (eV for the cell shown) = -55.0

Lattice parameters (Å, degrees): 3.862 7.162 6.163 90.00 90.00 90.00
Space group Pmc2_1 (No. 26)
Unique sites:
1 Ba 0.000 0.170 0.000
2 Tm 0.500 0.346 0.514
3 N 0.000 0.204 0.443
4 O 0.500 0.383 0.860

No. 7
BaTmNO: optimized geometry, GGA-PBE.

Properties
- total magnetic moment (μB/f.u.) = 0.00
- crystal system = orthorhombic
- relative energy among the computed polymorphs (meV/atom) = 137
- total energy (eV for the cell shown) = -109.0

Lattice parameters (Å, degrees): 6.578 8.578 5.999 90.00 90.00 90.00
Space group Pca2_1 (No. 29)
Unique sites:
1 Ba 0.064 0.133 0.000
2 Tm 0.084 0.606 0.981
3 N 0.029 0.171 0.545
4 O 0.113 0.573 0.623

No. 8
BaTmNO: optimized geometry, GGA-PBE.

Properties
- total magnetic moment (μB/f.u.) = 0.00
- crystal system = orthorhombic
- relative energy among the computed polymorphs (meV/atom) = 82
- total energy (eV for the cell shown) = -54.9

Lattice parameters (Å, degrees): 3.921 7.055 6.128 90.00 90.00 90.00
Space group Pmc2_1 (No. 26)
Unique sites:
1 Ba 0.000 0.182 0.000
2 Tm 0.500 0.345 0.505
3 N 0.500 0.378 0.855
4 O 0.000 0.202 0.444

No. 9
BaTmNO: optimized geometry, GGA-PBE.

Properties
- total magnetic moment (μB/f.u.) = 0.00
- crystal system = tetragonal
- relative energy among the computed polymorphs (meV/atom) = 441
- total energy (eV for the cell shown) = -52.0

Lattice parameters (Å, degrees): 4.595 4.595 8.464 90.00 90.00 90.00
Space group P4/nmm (No. 129, origin choice 2)
Unique sites:
1 Ba 0.250 0.250 0.124
2 Tm 0.250 0.750 0.500
3 N 0.250 0.250 0.529
4 O 0.250 0.750 0.000

No. 10
BaTmNO: optimized geometry, GGA-PBE.

Properties
- total magnetic moment (μB/f.u.) = 0.00
- crystal system = tetragonal
- relative energy among the computed polymorphs (meV/atom) = 272
- total energy (eV for the cell shown) = -53.4

Lattice parameters (Å, degrees): 4.681 4.681 7.470 90.00 90.00 90.00
Space group P4/nmm (No. 129, origin choice 2)
Unique sites:
1 Ba 0.250 0.750 0.000
2 Tm 0.250 0.250 0.437
3 N 0.250 0.250 0.163
4 O 0.250 0.750 0.500

No. 11
BaTmNO: optimized geometry, GGA-PBE.

Properties
- total magnetic moment (μB/f.u.) = 0.00
- crystal system = orthorhombic
- relative energy among the computed polymorphs (meV/atom) = 0
- total energy (eV for the cell shown) = -111.2

Lattice parameters (Å, degrees): 6.901 8.309 5.786 90.00 90.00 90.00
Space group Pca2_1 (No. 29)
Unique sites:
1 Ba 0.075 0.146 0.000
2 Tm 0.088 0.606 0.992
3 N 0.107 0.589 0.611
4 O 0.044 0.157 0.534

No. 12
BaZnNO: optimized geometry, GGA-PBE.

Properties
- crystal system = orthorhombic
- relative energy among the computed polymorphs (meV/atom) = 160
- total energy (eV for the cell shown) = -39.5

Lattice parameters (Å, degrees): 3.660 6.138 5.965 90.00 90.00 90.00
Space group Pmc2_1 (No. 26)
Unique sites:
1 Ba 0.000 0.218 0.000
2 Zn 0.500 0.234 0.500
3 N 0.000 0.342 0.502
4 O 0.500 0.001 0.250